VASP calculation (PBE) on a relaxed structure of Nd2Y6Ho3Mg.

Cell: 6.1516 10.6637 11.7907 Å, 90.00 100.08 90.00°
Closest atoms and distances in Å follow each position.
Space group C2/m (No. 12)
Asymmetric unit:
Nd (0.0000, 0.1663, 0.0000) [4 per cell]  3 Nd 3.55-3.56, 3 Mg 3.55-3.56, 6 Y 3.57-3.58
Y (0.2479, 0.5000, 0.7477) [4 per cell]  3 Ho 3.52-3.54, 6 Y 3.53-3.57, 1 Mg 3.57, 2 Nd 3.58
Y (0.2489, 0.3345, 0.2515) [8 per cell]  6 Y 3.53-3.57, 3 Ho 3.54-3.55, 1 Mg 3.56, 2 Nd 3.57-3.58
Ho (0.0000, 0.0000, 0.5000) [2 per cell]  6 Y 3.54, 6 Ho 3.55-3.57
Ho (0.0000, 0.3346, 0.5000) [4 per cell]  6 Y 3.52-3.55, 6 Ho 3.53-3.57
Mg (0.0000, 0.5000, 0.0000) [2 per cell]  6 Nd 3.55-3.56, 6 Y 3.56-3.57

## Properties
- energy (eV for the cell shown) = -126.74